No. 1
Computed, not measured: AlGa3Mo after structural relaxation at the GGA-PBE level of DFT.

The space group is C2/c (No. 15) and the conventional cell measures 15.794, 8.965 and 5.389 Å, with angles of 90.00, 104.46 and 90.00 degrees. The asymmetric unit holds Al at (0.000, 0.178, 0.250), Al at (0.000, 0.206, 0.750), Ga at (0.077, 0.437, 0.115), Ga at (0.121, 0.003, 0.651), Ga at (0.236, 0.248, 0.740) and Mo at (0.223, 0.500, 0.470).

As for the energy relative to the lowest polymorph listed for this composition: 0 meV per atom.

No. 2
Computed, not measured: Al4GaMo after structural relaxation at the GGA-PBE level of DFT.

The space group is Cmc2_1 (No. 36) and the conventional cell measures 3.635, 12.718 and 8.160 Å, with angles of 90.00, 90.00 and 90.00 degrees. The asymmetric unit holds Al at (0.000, 0.006, 0.000), Al at (0.000, 0.170, 0.748), Al at (0.000, 0.313, 0.494), Al at (0.000, 0.494, 0.254), Ga at (0.000, 0.164, 0.240) and Mo at (0.000, 0.347, 0.993).

As for the energy relative to the lowest polymorph listed for this composition: 0 meV per atom.

No. 3
Computed, not measured: Al4GaMo after structural relaxation at the GGA-PBE level of DFT.

The space group is C2/c (No. 15) and the conventional cell measures 8.465, 4.935 and 9.644 Å, with angles of 90.00, 110.41 and 90.00 degrees. The asymmetric unit holds Al at (0.078, 0.242, 0.005), Al at (0.163, 0.442, 0.749), Ga at (0.250, 0.250, 0.500) and Mo at (0.000, 0.055, 0.250).

As for the energy relative to the lowest polymorph listed for this composition: 27 meV per atom.

No. 4
Computed, not measured: Al5Ga4Mo after structural relaxation at the GGA-PBE level of DFT.

The space group is I4mm (No. 107) and the conventional cell measures 8.697, 8.697 and 5.023 Å, with angles of 90.00, 90.00 and 90.00 degrees. The asymmetric unit holds Al at (0.000, 0.000, 0.000), Al at (0.193, 0.193, 0.698), Ga at (0.000, 0.292, 0.259) and Mo at (0.000, 0.000, 0.503).

The final energy comes out at -0.2991 Ry/atom.

No. 5
Computed, not measured: Al8GaMo2 after structural relaxation at the GGA-PBE level of DFT.

The space group is C2/m (No. 12) and the conventional cell measures 10.770, 8.529 and 4.763 Å, with angles of 90.00, 108.73 and 90.00 degrees. The asymmetric unit holds Al at (0.075, 0.233, 0.292), Al at (0.112, 0.000, 0.761), Al at (0.250, 0.000, 0.333), Ga at (0.000, 0.500, 0.500) and Mo at (0.125, 0.500, 0.090).

The final energy comes out at -0.3476 Ry/atom.

No. 6
Computed, not measured: AlGa2Mo after structural relaxation at the GGA-PBE level of DFT.

The space group is R3m (No. 160, hexagonal axes) and the conventional cell measures 4.1617, 4.1617 and 14.3043 Å, with angles of 90.00, 90.00 and 120.00 degrees. The asymmetric unit holds Al at (0.0000, 0.0000, 0.0000), Ga at (0.0000, 0.0000, 0.5855), Ga at (0.0000, 0.0000, 0.7785) and Mo at (0.0000, 0.0000, 0.1918).

The final energy comes out at -0.3644 Ry/atom.

No. 7
Computed, not measured: Al3Ga4Mo2 after structural relaxation at the GGA-PBE level of DFT.

The space group is C2/m (No. 12) and the conventional cell measures 9.324, 3.631 and 8.638 Å, with angles of 90.00, 109.44 and 90.00 degrees. The asymmetric unit holds Al at (0.000, 0.000, 0.000), Al at (0.173, 0.500, 0.551), Ga at (0.019, 0.000, 0.671), Ga at (0.176, 0.500, 0.889) and Mo at (0.150, 0.500, 0.219).

The final energy comes out at -0.3794 Ry/atom.

No. 8
Computed, not measured: Al2GaMo2 after structural relaxation at the GGA-PBE level of DFT.

The space group is P4/mbm (No. 127) and the conventional cell measures 6.672, 6.672 and 3.441 Å, with angles of 90.00, 90.00 and 90.00 degrees. The asymmetric unit holds Al at (0.130, 0.370, 0.000), Ga at (0.000, 0.000, 0.000) and Mo at (0.172, 0.672, 0.500).

As for the energy relative to the lowest polymorph listed for this composition: 35 meV per atom.

No. 9
Computed, not measured: AlGaMo after structural relaxation at the GGA-PBE level of DFT.

The space group is P1 (No. 1) and the conventional cell measures 4.810, 4.915 and 5.013 Å, with angles of 107.03, 99.33 and 118.79 degrees. The asymmetric unit holds Al at (0.000, 0.000, 0.000), Al at (0.182, 0.750, 0.486), Ga at (0.647, 0.313, 0.002), Ga at (0.830, 0.059, 0.482), Mo at (0.306, 0.635, 0.966) and Mo at (0.525, 0.426, 0.522).

As for the energy relative to the lowest polymorph listed for this composition: 0 meV per atom.

No. 10
Computed, not measured: Al4Ga3Mo2 after structural relaxation at the GGA-PBE level of DFT.

The space group is C2/m (No. 12) and the conventional cell measures 9.281, 3.654 and 8.784 Å, with angles of 90.00, 111.30 and 90.00 degrees. The asymmetric unit holds Al at (0.014, 0.000, 0.173), Al at (0.173, 0.500, 0.389), Ga at (0.000, 0.000, 0.500), Ga at (0.171, 0.500, 0.048) and Mo at (0.153, 0.500, 0.710).

The final energy comes out at -0.3874 Ry/atom.

No. 11
Computed, not measured: Al7Ga2Mo2 after structural relaxation at the GGA-PBE level of DFT.

The space group is C2/m (No. 12) and the conventional cell measures 7.049, 8.236 and 6.558 Å, with angles of 90.00, 109.88 and 90.00 degrees. The asymmetric unit holds Al at (0.000, 0.000, 0.000), Al at (0.191, 0.306, 0.159), Al at (0.206, 0.000, 0.485), Ga at (0.000, 0.266, 0.500) and Mo at (0.111, 0.500, 0.802).

The final energy comes out at -0.3729 Ry/atom.

No. 12
Computed, not measured: Al2Ga6Mo after structural relaxation at the GGA-PBE level of DFT.

The space group is P-1 (No. 2) and the conventional cell measures 2.850, 6.537 and 8.723 Å, with angles of 107.10, 90.04 and 90.54 degrees. The asymmetric unit holds Al at (0.003, 0.311, 0.062), Ga at (0.004, 0.307, 0.405), Ga at (0.011, 0.317, 0.718), Ga at (0.490, 0.000, 0.176) and Mo at (0.500, 0.000, 0.500).

The final energy comes out at -0.2975 Ry/atom.

Number 12 is which compound? Al2Ga6Mo